VASP calculation (GGA-PBE) on a geometry-optimized PmPPd structure.

Cell lengths 4.2244, 4.2243, 7.7794 Å; angles 90.00, 90.00, 120.00 degrees
Fractional positions:
Pm 0.0000 0.0000 0.0000
Pm 0.0000 0.0000 0.5000
P 0.3334 0.6669 0.2500
P 0.6666 0.3331 0.7500
Pd 0.6668 0.3336 0.2500
Pd 0.3332 0.6664 0.7500

Properties
E above lowest polymorph: 0 meV per atom
Symmetry: P6_3/mmc
Density of states at the Fermi level: 2.00 states/eV/cell

VASP calculation (GGA-PBE) on a geometry-optimized PmP2Pd structure.

Cell lengths 3.7557, 4.4191, 4.4191 Å; angles 90.00, 90.00, 90.00 degrees
Fractional positions:
P 0.0000 0.0000 0.5000
P 0.0000 0.5000 0.0000
Pd 0.5000 0.0000 0.0000
Pm 0.5000 0.5000 0.5000

Properties
E above lowest polymorph: 207 meV per atom
Symmetry: P4/mmm
Density of states at the Fermi level: 1.01 states/eV/cell

VASP calculation (GGA-PBE) on a geometry-optimized Pm2P3Pd6 structure.

Cell lengths 4.1721, 7.3584, 7.3584 Å; angles 120.00, 90.00, 90.00 degrees
Fractional positions:
Pm 0.0000 0.6667 0.3333
Pm 0.0000 0.3333 0.6667
P 0.5000 0.3654 0.3654
P 0.5000 0.6346 0.0000
P 0.5000 0.0000 0.6346
Pd 0.5000 0.6886 0.6886
Pd 0.5000 0.0000 0.3114
Pd 0.0000 0.2129 0.2129
Pd 0.0000 0.7871 0.0000
Pd 0.5000 0.3114 0.0000
Pd 0.0000 0.0000 0.7871

Properties
Symmetry: P-62m
Density of states at the Fermi level: 5.68 states/eV/cell

VASP calculation (GGA-PBE) on a geometry-optimized Pm2PPd6 structure.

Cell lengths 6.1690, 6.1690, 6.1690 Å; angles 60.00, 60.00, 60.00 degrees
Fractional positions:
Pm 0.2500 0.2500 0.2500
Pm 0.7500 0.7500 0.7500
P 0.0000 0.0000 0.0000
Pd 0.2679 0.7321 0.7321
Pd 0.2679 0.7321 0.2679
Pd 0.7321 0.2679 0.7321
Pd 0.7321 0.2679 0.2679
Pd 0.7321 0.7321 0.2679
Pd 0.2679 0.2679 0.7321

Properties
Symmetry: Fm-3m
Density of states at the Fermi level: 4.37 states/eV/cell

VASP calculation (GGA-PBE) on a geometry-optimized PmPPd structure.

Cell lengths 3.9756, 3.9756, 4.9490 Å; angles 113.68, 113.68, 90.00 degrees
Fractional positions:
P 0.2654 0.2654 0.5308
Pd 0.9702 0.9702 0.9405
Pm 0.6143 0.6143 0.2287

Properties
E above lowest polymorph: 507 meV per atom
Symmetry: I4mm
Density of states at the Fermi level: 0.76 states/eV/cell

VASP calculation (GGA-PBE) on a geometry-optimized Pm2P6Pd21 structure.

Cell lengths 8.6529, 8.6529, 8.6529 Å; angles 60.00, 60.00, 60.00 degrees
Fractional positions:
Pm 0.7500 0.7500 0.7500
Pm 0.2500 0.2500 0.2500
P 0.2602 0.7398 0.2602
P 0.7398 0.2602 0.2602
P 0.7398 0.7398 0.2602
P 0.7398 0.2602 0.7398
P 0.2602 0.7398 0.7398
P 0.2602 0.2602 0.7398
Pd 0.0000 0.0000 0.0000
Pd 0.6139 0.6139 0.1583
Pd 0.6139 0.6139 0.6139
Pd 0.6139 0.1583 0.6139
Pd 0.1583 0.6139 0.6139
Pd 0.3861 0.3861 0.8417
Pd 0.3861 0.3861 0.3861
Pd 0.3861 0.8417 0.3861
Pd 0.8417 0.3861 0.3861
Pd 0.6553 0.0000 0.3447
Pd 0.0000 0.6553 0.3447
Pd 0.0000 0.0000 0.3447
Pd 0.0000 0.6553 0.0000
Pd 0.6553 0.0000 0.0000
Pd 0.0000 0.0000 0.6553
Pd 0.0000 0.3447 0.0000
Pd 0.0000 0.3447 0.6553
Pd 0.6553 0.3447 0.0000
Pd 0.3447 0.0000 0.6553
Pd 0.3447 0.0000 0.0000
Pd 0.3447 0.6553 0.0000

Properties
Symmetry: Fm-3m
Density of states at the Fermi level: 9.65 states/eV/cell

VASP calculation (GGA-PBE) on a geometry-optimized PmP2Pd8 structure.

Cell lengths 5.5226, 5.5226, 7.2157 Å; angles 90.00, 90.00, 90.00 degrees
Fractional positions:
Pm 0.5000 0.5000 0.5000
P 0.5000 0.0000 0.0000
P 0.0000 0.5000 0.0000
Pd 0.7529 0.7529 0.1975
Pd 0.7529 0.2471 0.8025
Pd 0.7529 0.7529 0.8025
Pd 0.7529 0.2471 0.1975
Pd 0.2471 0.7529 0.1975
Pd 0.2471 0.7529 0.8025
Pd 0.2471 0.2471 0.1975
Pd 0.2471 0.2471 0.8025

Properties
Symmetry: P4/mmm
Density of states at the Fermi level: 3.22 states/eV/cell

VASP calculation (GGA-PBE) on a geometry-optimized Pm2P2Pd3 structure.

Cell lengths 4.0170, 5.4544, 7.0546 Å; angles 112.95, 90.00, 111.61 degrees
Fractional positions:
Pm 0.8670 0.7339 0.2306
Pm 0.1330 0.2661 0.7694
P 0.8462 0.6925 0.7876
P 0.1538 0.3075 0.2124
Pd 0.5000 0.0000 0.0000
Pd 0.6292 0.2584 0.4377
Pd 0.3708 0.7416 0.5623

Properties
Symmetry: C2/m
Density of states at the Fermi level: 3.75 states/eV/cell

VASP calculation (GGA-PBE) on a geometry-optimized PmPPd structure.

Cell lengths 6.5138, 5.7770, 6.8481 Å; angles 70.34, 90.00, 90.00 degrees
Fractional positions:
Pm 0.8345 0.8166 0.9021
Pm 0.3345 0.6834 0.5979
Pm 0.1655 0.1834 0.0979
Pm 0.6655 0.3166 0.4021
Pd 0.8843 0.8093 0.4332
Pd 0.3843 0.6907 0.0668
Pd 0.1157 0.1907 0.5668
Pd 0.6157 0.3093 0.9332
P 0.5779 0.9352 0.2378
P 0.0779 0.5648 0.2622
P 0.4221 0.0648 0.7622
P 0.9221 0.4352 0.7378

Properties
E above lowest polymorph: 195 meV per atom
Symmetry: P2_1/c
Density of states at the Fermi level: 8.50 states/eV/cell

VASP calculation (GGA-PBE) on a geometry-optimized PmP2Pd structure.

Cell lengths 3.8914, 4.7116, 4.7116 Å; angles 109.09, 90.00, 90.00 degrees
Fractional positions:
Pm 0.0000 0.0219 0.9781
P 0.5000 0.1001 0.4899
P 0.5000 0.5101 0.8999
Pd 0.5000 0.5830 0.4170

Properties
E above lowest polymorph: 0 meV per atom
Symmetry: Amm2
Density of states at the Fermi level: 2.33 states/eV/cell

VASP calculation (GGA-PBE) on a geometry-optimized PmP2Pd structure.

Cell lengths 4.3421, 4.3421, 17.9856 Å; angles 90.00, 90.00, 90.00 degrees
Fractional positions:
Pm 0.7384 0.8794 0.3672
Pm 0.1206 0.7384 0.6172
Pm 0.8794 0.2616 0.1172
Pm 0.2616 0.1206 0.8672
P 0.5959 0.1848 0.6014
P 0.8152 0.5959 0.8514
P 0.1848 0.4041 0.3514
P 0.4041 0.8152 0.1014
P 0.8338 0.3649 0.5016
P 0.6351 0.8338 0.7516
P 0.3649 0.1662 0.2516
P 0.1662 0.6351 0.0016
Pd 0.6692 0.7661 0.9735
Pd 0.2339 0.6692 0.2235
Pd 0.7661 0.3308 0.7235
Pd 0.3308 0.2339 0.4735

Properties
E above lowest polymorph: 12 meV per atom
Symmetry: P4_1
Density of states at the Fermi level: 2.94 states/eV/cell

VASP calculation (GGA-PBE) on a geometry-optimized PmP4Pd6 structure.

Cell lengths 3.9359, 7.1625, 7.1625 Å; angles 120.00, 90.00, 90.00 degrees
Fractional positions:
Pm 0.0000 0.0000 0.0000
P 0.5000 0.8127 0.6254
P 0.5000 0.3746 0.1873
P 0.5000 0.8127 0.1873
P 0.0000 0.3333 0.6667
Pd 0.0000 0.5345 0.0690
Pd 0.5000 0.6064 0.8032
Pd 0.0000 0.5345 0.4655
Pd 0.0000 0.9310 0.4655
Pd 0.5000 0.1968 0.8032
Pd 0.5000 0.1968 0.3936

Properties
Symmetry: P-6m2
Density of states at the Fermi level: 5.84 states/eV/cell

Number 1: formation energy -1246 meV per atom. Number 2: formation energy -593 meV per atom. Number 3: formation energy -897 meV per atom. Number 4: formation energy -820 meV per atom. Number 5: formation energy -738 meV per atom. Number 6: formation energy -632 meV per atom. Number 7: formation energy -289 meV per atom. Number 8: formation energy -983 meV per atom. Number 9: formation energy -1051 meV per atom. Number 10: formation energy -800 meV per atom. Number 11: formation energy -789 meV per atom. Number 12: formation energy -617 meV per atom.